{"formula": "Dy12Ge6C", "functional": "GGA-PBE", "state": "relaxed", "final_energy_ev_per_fu": -102.27, "formation_enthalpy_0k_ev_per_atom": -0.533, "lattice_angstrom": [[8.1356, 0.0080, 0.0096], [-1.2255, 8.0428, 0.0096], [-1.2255, -1.4278, 7.9151]], "species": ["Dy", "Dy", "Dy", "Dy", "Dy", "Ge", "Dy", "Dy", "Dy", "Dy", "Ge", "Ge", "Ge", "Dy", "Ge", "Ge", "Dy", "Dy", "C"], "fractional_positions": [[0.5640, 0.1875, 0.4281], [0.9683, 0.3050, 0.0688], [0.1875, 0.4281, 0.5640], [0.5719, 0.4360, 0.8125], [0.3050, 0.0688, 0.9683], [0.1238, 0.6197, 0.2936], [0.9312, 0.0317, 0.6950], [0.0317, 0.6950, 0.9312], [0.4281, 0.5640, 0.1875], [0.6950, 0.9312, 0.0317], [0.6197, 0.2936, 0.1238], [0.7064, 0.8762, 0.3803], [0.2936, 0.1238, 0.6197], [0.4360, 0.8125, 0.5719], [0.8762, 0.3803, 0.7064], [0.3803, 0.7064, 0.8762], [0.8125, 0.5719, 0.4360], [0.0688, 0.9683, 0.3050], [0.0000, 0.0000, 0.0000]]}

=====

{"formula": "Dy4Ge2C", "functional": "GGA-PBE", "state": "relaxed", "e_above_lowest_polymorph_ev_per_atom": 0.006, "final_energy_ev_per_fu": -41.33, "formation_enthalpy_0k_ev_per_atom": -0.637, "lattice_angstrom": [[-2.2026, 3.6402, 1.9858], [1.1571, -1.6197, 4.2525], [6.9698, 3.0118, -3.3414]], "species": ["Dy", "Ge", "Dy", "C", "Dy", "Ge", "Dy"], "fractional_positions": [[0.0000, 0.5000, 0.0000], [0.3631, 0.3631, 0.7263], [0.1678, 0.1678, 0.3355], [0.0000, 0.0000, 0.0000], [0.8322, 0.8322, 0.6645], [0.6369, 0.6369, 0.2737], [0.5000, 0.0000, 0.0000]]}

=====

{"formula": "Dy3Ge2C", "functional": "GGA-PBE", "state": "relaxed", "final_energy_ev_per_fu": -33.47, "formation_enthalpy_0k_ev_per_atom": -0.200, "lattice_angstrom": [[-1.8835, 1.0906, -2.9042], [-3.9732, -2.0791, 1.7960], [1.0761, 7.2694, 4.2996]], "species": ["Dy", "Dy", "C", "Dy", "Ge", "Ge"], "fractional_positions": [[0.1545, 0.1545, 0.3089], [0.8455, 0.8455, 0.6911], [0.0000, 0.0000, 0.0000], [0.0000, 0.5000, 0.0000], [0.3441, 0.3441, 0.6883], [0.6559, 0.6559, 0.3117]]}

=====

{"formula": "Dy2GeC", "functional": "GGA-PBE", "state": "relaxed", "final_energy_ev_per_fu": -23.43, "formation_enthalpy_0k_ev_per_atom": -0.095, "lattice_angstrom": [[3.5559, 0.0000, 0.0000], [1.7779, 3.0795, 0.0000], [1.7779, 1.0265, 8.5692]], "species": ["Ge", "Dy", "Dy", "C"], "fractional_positions": [[0.0000, 0.0000, 0.0000], [0.8850, 0.8850, 0.3450], [0.1150, 0.1150, 0.6550], [0.5000, 0.5000, 0.5000]]}

=====

{"formula": "Dy4HgGeC", "functional": "GGA-PBE", "state": "relaxed", "final_energy_ev_per_fu": -36.01, "formation_enthalpy_0k_ev_per_atom": -0.494, "lattice_angstrom": [[-0.1526, -3.3448, 6.0120], [3.5846, -5.1582, -2.7788], [6.3046, 4.9370, -1.0316]], "species": ["Ge", "Dy", "Hg", "Dy", "Hg", "Dy", "Dy", "Dy", "Dy", "Dy", "Dy", "C", "C", "Ge"], "fractional_positions": [[0.6248, 0.7500, 0.2496], [0.9175, 0.2500, 0.8350], [0.8836, 0.7500, 0.7673], [0.4207, 0.7500, 0.8414], [0.1164, 0.2500, 0.2327], [0.5000, 0.0000, 0.5000], [0.5793, 0.2500, 0.1586], [0.0000, 0.0000, 0.5000], [0.0000, 0.5000, 0.5000], [0.0825, 0.7500, 0.1650], [0.5000, 0.5000, 0.5000], [0.7481, 0.2500, 0.4961], [0.2519, 0.7500, 0.5039], [0.3752, 0.2500, 0.7504]]}

=====

{"formula": "DyMn2Ge2C", "functional": "GGA-PBE", "state": "relaxed", "final_energy_ev_per_fu": -43.49, "formation_enthalpy_0k_ev_per_atom": -0.348, "lattice_angstrom": [[3.9218, 0.0000, 0.0000], [0.0000, 3.9218, 0.0000], [0.0000, 0.0000, 5.4461]], "species": ["Ge", "Dy", "Ge", "Mn", "Mn", "C"], "fractional_positions": [[0.5000, 0.5000, 0.2745], [0.0000, 0.0000, 0.5000], [0.5000, 0.5000, 0.7255], [0.0000, 0.5000, 0.0000], [0.5000, 0.0000, 0.0000], [0.0000, 0.0000, 0.0000]]}

=====

{"formula": "Nd3DyGe2C", "functional": "GGA-PBE", "state": "relaxed", "final_energy_ev_per_fu": -41.23, "formation_enthalpy_0k_ev_per_atom": -0.553, "lattice_angstrom": [[-1.7007, 3.9053, 2.1221], [1.8917, -1.4847, 4.2483], [6.6155, 2.6105, -4.8382]], "species": ["C", "Dy", "Nd", "Ge", "Nd", "Ge", "Nd"], "fractional_positions": [[0.0000, 0.0000, 0.0000], [0.5000, 0.0000, 0.0000], [0.0000, 0.5000, 0.0000], [0.3651, 0.3651, 0.7301], [0.1693, 0.1693, 0.3385], [0.6349, 0.6349, 0.2699], [0.8307, 0.8307, 0.6615]]}

=====

{"formula": "Dy3Ge2OsC", "functional": "GGA-PBE", "state": "relaxed", "final_energy_ev_per_fu": -47.00, "formation_enthalpy_0k_ev_per_atom": -0.501, "lattice_angstrom": [[-0.7168, 0.6691, 3.8272], [4.1951, -1.8772, 1.1139], [1.5538, 7.6029, -3.0774]], "species": ["C", "Ge", "Dy", "Os", "Dy", "Dy", "Ge"], "fractional_positions": [[0.0000, 0.0000, 0.0000], [0.6471, 0.6471, 0.2942], [0.8365, 0.8365, 0.6729], [0.5000, 0.0000, 0.0000], [0.0000, 0.5000, 0.0000], [0.1635, 0.1635, 0.3271], [0.3529, 0.3529, 0.7058]]}

=====

> What is the formula in the sixth record?

DyMn2Ge2C